An optimized crystal structure of SrPdN3. Source: the Alexandria database, functional PBE-GGA.

a b c (Å): 4.403 4.403 4.403
angles (deg): 90.00 90.00 90.00
Fractional positions:
N1 0.000 0.000 0.500
N2 0.500 0.000 0.000
N3 0.000 0.500 0.000
Pd1 0.500 0.500 0.500
Sr1 0.000 0.000 0.000

## Properties
D(E_F): 9.6 states/eV/cell
calculated total energy: -0.134 hartree per atom
raw formation energy: 2.7309 eV per atom